Entry 1:
The following is a DFT calculation (PBE-GGA) of a relaxed KCr2Pt crystal.

```
4
Lattice="5.143 0.006 0.000 -1.277 4.982 0.000 0.000 0.000 2.987" Properties=species:S:1:pos:R:3 pbc="T T T"
Cr 0.000 0.000 0.000
Cr 1.933 2.494 0.000
K 2.571 0.003 1.493
Pt -0.639 2.491 1.493
```

Output
- E above lowest polymorph (eV per formula unit) = 2.14
- E (eV per cell) = -22.63
- SG = Cmmm
- formation energy (eV/atom) = 0.94

=====

Entry 2:
The following is a DFT calculation (PBE-GGA) of a relaxed KCr2Pt crystal.

```
4
Lattice="6.399 -0.145 -0.051 3.397 5.425 0.051 -4.030 -4.252 2.580" Properties=species:S:1:pos:R:3 pbc="T T T"
K 3.634 -0.878 1.264
Cr 0.512 0.276 0.000
Cr 4.387 2.364 0.000
Pt 2.133 1.907 1.316
```

Output
- E above lowest polymorph (eV per formula unit) = 1.44
- E (eV per cell) = -23.32
- SG = Immm
- formation energy (eV/atom) = 0.77

=====

Entry 3:
The following is a DFT calculation (PBE-GGA) of a relaxed KCrPt2 crystal.

```
4
Lattice="-2.224 -1.361 -3.020 -2.760 -2.804 -0.663 -6.205 4.796 1.524" Properties=species:S:1:pos:R:3 pbc="T T T"
K -2.797 0.158 -0.540
Pt -5.960 0.710 -0.921
Pt -5.839 4.402 1.366
Cr -8.392 0.474 -1.619
```

Output
- E (eV per cell) = -22.17
- SG = C2/m
- formation energy (eV/atom) = 0.16

=====

Entry 4:
The following is a DFT calculation (PBE-GGA) of a relaxed KCr2Pt crystal.

```
4
Lattice="4.553 -0.003 0.010 3.610 2.774 0.010 0.608 0.206 7.262" Properties=species:S:1:pos:R:3 pbc="T T T"
Cr 4.478 1.520 2.925
Cr 8.070 2.740 0.736
Pt 2.193 0.744 1.821
K 6.578 2.233 5.462
```

Output
- E above lowest polymorph (eV per formula unit) = 1.11
- E (eV per cell) = -23.65
- SG = C2/m
- formation energy (eV/atom) = 0.68

=====

Entry 5:
The following is a DFT calculation (PBE-GGA) of a relaxed KCr2Pt crystal.

```
4
Lattice="-5.350 -1.371 2.015 -2.361 -5.125 -1.653 4.114 3.109 2.824" Properties=species:S:1:pos:R:3 pbc="T T T"
Cr -2.877 -1.034 2.526
Cr -7.665 -6.457 0.361
Pt -0.773 -2.398 0.664
K -3.849 -3.242 0.181
```

Output
- E above lowest polymorph (eV per formula unit) = 1.08
- E (eV per cell) = -23.68
- SG = Imm2
- formation energy (eV/atom) = 0.68

=====

Entry 6:
The following is a DFT calculation (PBE-GGA) of a relaxed KCrSiPt2 crystal.

```
5
Lattice="-1.133 2.300 -4.387 -4.540 -0.305 1.013 0.213 4.518 2.314" Properties=species:S:1:pos:R:3 pbc="T T T"
K 0.000 0.000 0.000
Si -2.730 3.257 -0.530
Pt -0.566 1.150 -2.193
Pt 0.106 2.259 1.157
Cr -2.270 -0.152 0.506
```

Output
- E above lowest polymorph (eV per formula unit) = 7.80
- E (eV per cell) = -17.62
- SG = P4/mmm
- E_form (uncorrected) (eV/atom) = 2.1209

=====

Entry 7:
The following is a DFT calculation (PBE-GGA) of a relaxed KCrSiPt2 crystal.

```
5
Lattice="-2.445 -3.598 -1.526 3.343 -0.456 -4.282 2.698 -2.856 2.410" Properties=species:S:1:pos:R:3 pbc="T T T"
Pt 1.349 -1.428 1.205
Pt -1.223 -1.799 -0.763
K 1.671 -0.228 -2.141
Si 0.000 0.000 0.000
Cr 1.798 -3.455 -1.699
```

Output
- E above lowest polymorph (eV per formula unit) = 0.00
- E (eV per cell) = -25.42
- SG = P4/mmm
- E_form (uncorrected) (eV/atom) = 0.5613

=====

Entry 8:
The following is a DFT calculation (PBE-GGA) of a relaxed K2TaCrPt crystal.

```
5
Lattice="6.505 0.000 0.000 0.000 4.880 0.000 0.000 0.000 6.505" Properties=species:S:1:pos:R:3 pbc="T T T"
Ta 0.000 0.000 0.000
K 0.000 0.000 3.253
K 3.253 0.000 0.000
Cr 3.253 2.440 3.253
Pt 0.000 2.440 0.000
```

Output
- E (eV per cell) = -22.28
- SG = P4/mmm
- formation energy (eV/atom) = 1.49

=====

Entry 9:
The following is a DFT calculation (PBE-GGA) of a relaxed K3PuCr2S6 crystal.

```
12
Lattice="6.547 0.000 -0.005 -3.272 5.671 -0.005 -1.096 -1.898 7.298" Properties=species:S:1:pos:R:3 pbc="T T T"
K -2.237 3.808 3.644
K 1.090 1.887 3.644
K 4.416 -0.034 3.644
Pu 0.000 0.000 0.000
Cr 3.277 1.889 -0.005
Cr -0.001 3.782 -0.005
S -0.185 3.772 5.927
S 3.360 1.725 5.927
S 0.086 0.149 5.942
S -1.181 2.049 1.361
S 2.365 0.001 1.361
S 2.093 3.625 1.345
```

Output
- E (eV per cell) = -75.04
- SG = C2/m
- E_form (uncorrected) (eV/atom) = -1.1172

=====

Entry 10:
The following is a DFT calculation (PBE-GGA) of a relaxed K4Pu3CrS8 crystal.

```
16
Lattice="-1.850 -5.384 -5.643 3.089 -6.325 5.022 -5.710 4.722 3.060" Properties=species:S:1:pos:R:3 pbc="T T T"
S -4.790 -3.828 2.219
S -1.864 -6.188 0.822
S -0.802 -3.478 3.582
S -3.669 -3.509 -1.143
S -0.657 -6.000 -2.757
S 0.319 -3.159 0.220
S -3.814 -0.987 5.196
S -2.607 -0.799 1.617
Cr 1.544 -3.162 2.511
Pu -2.236 -3.493 1.219
Pu 0.619 -5.855 -0.311
Pu -1.310 -0.801 4.041
K -2.855 2.361 1.530
K -0.925 -2.692 -2.822
K 0.000 0.000 0.000
K -3.780 -0.331 -1.291
```

Output
- E (eV per cell) = -112.28
- SG = R-3m
- E_form (uncorrected) (eV/atom) = -1.3908

=====

Entry 11:
The following is a DFT calculation (PBE-GGA) of a relaxed K2PuCr2S6 crystal.

```
11
Lattice="-1.170 4.397 -4.445 -4.380 -1.444 4.381 4.538 4.376 4.547" Properties=species:S:1:pos:R:3 pbc="T T T"
S -0.743 5.037 3.064
S 1.189 2.619 4.685
S -2.200 4.710 -0.202
S -0.268 2.292 1.419
S -3.368 2.586 3.006
S 2.356 4.743 1.477
Pu 2.269 2.188 2.273
Cr 0.029 4.637 0.772
Cr -1.040 2.692 3.711
K -1.688 3.454 -3.019
K -3.861 -0.501 2.955
```

Output
- E (eV per cell) = -72.91
- SG = C2/m
- E_form (uncorrected) (eV/atom) = -1.1250

=====

Entry 12:
The following is a DFT calculation (PBE-GGA) of a relaxed K3Pu3CrS8 crystal.

```
15
Lattice="-0.646 -7.052 -3.517 7.114 3.329 0.905 -3.796 -3.231 7.181" Properties=species:S:1:pos:R:3 pbc="T T T"
S 2.481 -1.067 1.686
S -1.135 -2.659 1.433
S 2.341 -4.660 0.029
S 0.191 -5.886 2.882
S 4.154 -0.504 5.026
S 3.807 -4.294 3.135
S 0.331 -2.293 4.540
S -1.482 -6.449 -0.457
K 3.234 -1.861 -1.306
K 3.557 1.665 0.452
K 0.000 0.000 0.000
Pu 1.336 -3.477 2.284
Pu 1.659 0.049 4.043
Pu -2.221 -5.141 1.832
Cr -1.898 -1.615 3.590
```

Output
- E (eV per cell) = -109.78
- SG = R-3m
- E_form (uncorrected) (eV/atom) = -1.3902

=====

The evaluated total magnetic moment for the records listed, in turn: 8.7 8.9 3.3 7.8 0.2 4.6 4.7 2.3 11.0 18.0 10.0 17.0 μB/f.u..